The following is a PBE calculation of a relaxed Pr4AuO7 crystal, from Alexandria via LeMat-Bulk.

Cell and atoms, written as POSCAR:
```
Pr4AuO7
1.0
4.2526 0.0000 0.0000
2.1263 6.5605 -0.0823
2.1263 0.2730 6.8186
O Au Pr
7 1 4
Cartesian
2.1263 4.6264 0.7130
6.3789 2.2071 6.0233
4.2526 2.8536 2.0413
2.1263 1.1091 3.0781
6.3789 5.7243 3.6582
4.2526 3.9799 4.6951
2.1263 0.0000 0.0000
0.0000 0.0000 0.0000
4.2526 5.2131 2.6449
6.3789 4.5714 5.6603
4.2526 1.6203 4.0915
2.1263 2.2620 1.0761
```

Formation energy (no corrections) in kJ per mole of atoms: -264.17
Spin magnetization in μB per cell: 0.0
Space-group type: C2/m, No. 12
Crystal system: monoclinic